# BaCaCdPt

Crystalline BaCaCdPt at its relaxed geometry (PBE-GGA, the Alexandria database).

Results
As for the space group: F-43m. The crystal system is cubic. For the formation energy, the calculation gives -1.735 eV/f.u.

Structure (POSCAR):
```
BaCaCdPt
1.0
5.4636 0.0000 0.0000
2.7318 4.7316 0.0000
2.7318 1.5772 4.4610
Ca Ba Pt Cd
1 1 1 1
direct
0.5000 0.5000 0.5000 Ca
0.0000 0.0000 0.0000 Ba
0.7500 0.7500 0.7500 Pt
0.2500 0.2500 0.2500 Cd
```

***

# Tl3In4

Crystalline Tl3In4 at its relaxed geometry (PBE-GGA, the Alexandria database).

Results
As for the space group: I4/mmm. As for the energy above the most stable polymorph in this dataset: 13 meV/atom. The crystal system is tetragonal. For the formation energy, the calculation gives 0.206 eV/f.u.

Structure (POSCAR):
```
Tl3In4
1.0
-11.5977 -5.3477 3.9542
-7.8821 -8.9044 6.1095
9.8370 8.6437 -2.6946
Tl In
3 4
direct
0.0000 0.0000 0.0000 Tl
0.7115 0.7115 0.0000 Tl
0.2885 0.2885 0.0000 Tl
0.8616 0.8616 0.0000 In
0.1384 0.1384 0.0000 In
0.5721 0.5721 0.0000 In
0.4279 0.4279 0.0000 In
```

***

# Ho6C2Se3O

Crystalline Ho6C2Se3O at its relaxed geometry (PBE-GGA, the Alexandria database).

Results
As for the space group: C2/m. The crystal system is monoclinic. Its formation energy without anion corrections is -1552 meV per atom.

Structure (POSCAR):
```
Ho6C2Se3O
1.0
-1.7801 1.2276 3.0204
1.0240 -6.9086 3.4114
7.5561 4.1315 0.4897
Ho C Se O
6 2 3 1
direct
0.3398 0.8863 0.6795 Ho
0.6769 0.5557 0.3538 Ho
0.6602 0.1137 0.3205 Ho
0.0142 0.2306 0.0284 Ho
0.9858 0.7694 0.9716 Ho
0.3231 0.4443 0.6462 Ho
0.8363 0.6735 0.6726 C
0.1637 0.3265 0.3274 C
0.5000 0.5000 0.0000 Se
0.8356 0.1674 0.6712 Se
0.1644 0.8326 0.3288 Se
0.5000 0.0000 0.0000 O
```

***

# MnPdRh2S8

Crystalline MnPdRh2S8 at its relaxed geometry (PBE-GGA, the Alexandria database).

Results
As for the space group: P2/m. The crystal system is monoclinic. Its formation energy without anion corrections is -352 meV per atom.

Structure (POSCAR):
```
MnPdRh2S8
1.0
5.6218 -0.0555 -0.0033
-0.0142 4.6230 -0.0048
0.0043 0.0083 7.4066
Mn Pd Rh S
1 1 2 8
direct
0.0000 0.0000 0.5000 Mn
0.0000 0.0000 0.0000 Pd
0.5000 0.5000 0.7388 Rh
0.5000 0.5000 0.2612 Rh
0.1107 0.6971 0.2749 S
0.6071 0.8025 0.0000 S
0.8893 0.3029 0.2748 S
0.8893 0.3029 0.7251 S
0.3929 0.1975 0.0000 S
0.1107 0.6971 0.7252 S
0.6290 0.8143 0.5000 S
0.3710 0.1857 0.5000 S
```

***

# PaAg2Pb

Crystalline PaAg2Pb at its relaxed geometry (PBE-GGA, the Alexandria database).

Results
As for the space group: Fm-3m. As for the energy above the most stable polymorph in this dataset: 0 meV/atom. The crystal system is cubic. For the formation energy, the calculation gives 0.647 eV/f.u.

Structure (POSCAR):
```
PaAg2Pb
1.0
-1.0121 -4.9501 0.4119
2.5812 -2.8485 3.3048
-2.3013 -1.7797 4.1514
Pb Pa Ag
1 1 2
direct
0.5000 0.5000 0.5000 Pb
0.0000 0.0000 0.0000 Pa
0.2500 0.2500 0.2500 Ag
0.7500 0.7500 0.7500 Ag
```

***

# Fe4N

Crystalline Fe4N at its relaxed geometry (PBE-GGA, the Alexandria database).

Results
As for the space group: R-3m. As for the energy above the most stable polymorph in this dataset: 155 meV/atom. The crystal system is trigonal. Its formation energy without anion corrections is 115 meV per atom.

Structure (POSCAR):
```
Fe4N
1.0
8.3238 -1.3464 -0.0487
8.3238 1.3464 -0.0487
8.1196 0.0000 2.2744
Fe N
4 1
direct
0.1269 0.1269 0.1269 Fe
0.8731 0.8731 0.8731 Fe
0.6208 0.6208 0.6208 Fe
0.3792 0.3792 0.3792 Fe
0.0000 0.0000 0.0000 N
```